No. 1
First-principles (PBE-GGA) data for a relaxed structure of LaMg2Zn9, as listed in Alexandria.

Values from the calculation:
The magnetization is 0.000 Bohr magnetons per cell. The space-group type is R-3m, No. 166. The energy relative to the elements comes out at -0.206 eV per atom.

```
LaMg2Zn9
1.0
-2.1286 -4.2887 2.4379
-1.9520 -4.0606 -2.9272
6.2383 -6.5022 -0.0712
La Mg Zn
1 2 9
Cartesian
0.0000 0.0000 0.0000
-0.8463 -9.9323 -0.4502
3.0040 -4.9191 -0.1103
-2.7050 -5.5737 -0.3260
4.8627 -9.2777 -0.2345
1.0789 -7.4257 -0.2803
-0.0620 -5.1096 -0.2193
-1.1468 -7.2954 1.0232
-1.0568 -7.1791 -1.7112
2.2197 -9.7418 -0.3412
3.2145 -7.6723 1.1507
3.3045 -7.5560 -1.5837
```



No. 2
First-principles (PBE-GGA) data for a relaxed structure of Sb4C, as listed in Alexandria.

Values from the calculation:
The magnetization is 0.000 Bohr magnetons per cell. The space-group type is Pm-3m, No. 221. The uncorrected formation energy comes out at 900 meV per atom.

```
Sb4C
1.0
4.8565 0.0000 0.0000
0.0000 4.8565 0.0000
0.0000 0.0000 4.8565
Sb C
4 1
Cartesian
0.0000 0.0000 0.0000
2.4283 0.0000 2.4283
0.0000 2.4283 2.4283
2.4283 2.4283 0.0000
2.4283 2.4283 2.4283
```



Number 1: DFT total energy -22.1 eV for the cell shown. Number 2: DFT total energy -21.2 eV for the cell shown.